! PBE K2FeGeCl6, optimized geometry; values from VASP
&SYSTEM
  ibrav = 0, nat = 10, ntyp = 4
/
ATOMIC_SPECIES
Cl 35.45 Cl.upf
K 39.10 K.upf
Fe 55.84 Fe.upf
Ge 72.64 Ge.upf
ATOMIC_POSITIONS angstrom
Cl 5.0730 2.6201 5.0730
Cl 5.0730 7.5258 5.0730
Cl 5.0730 5.0730 2.6201
Cl 5.0730 5.0730 7.5258
Cl 2.6201 5.0730 5.0730
Cl 7.5258 5.0730 5.0730
K 2.5365 2.5365 2.5365
K 7.6094 7.6094 7.6094
Fe 5.0730 5.0730 5.0730
Ge 0.0000 0.0000 0.0000
CELL_PARAMETERS angstrom
0.0000 5.0730 5.0730
5.0730 0.0000 5.0730
5.0730 5.0730 0.0000
! **SG**: Fm-3m (225)
! **Size of the total moment**: 0.40 μB/atom
! **E**: -3.825 eV per atom


! PBE AcCuPb, optimized geometry; values from VASP
&SYSTEM
  ibrav = 0, nat = 3, ntyp = 3
/
ATOMIC_SPECIES
Cu 63.55 Cu.upf
Pb 207.20 Pb.upf
Ac 227.00 Ac.upf
ATOMIC_POSITIONS angstrom
Cu 0.0000 0.0000 0.0000
Pb -0.4797 -2.6970 1.5876
Ac -0.9594 -5.3940 3.1751
CELL_PARAMETERS angstrom
0.1943 -5.1587 -0.2860
1.3945 -2.7678 4.1384
-3.5077 -2.8615 2.4979
! **SG**: F-43m (216)
! **Relative energy among the computed polymorphs**: 1.17 eV per formula unit
! **Size of the total moment**: 0.00 μB/atom
! **E**: -3.831 eV per atom


! PBE YPAuO, optimized geometry; values from VASP
&SYSTEM
  ibrav = 0, nat = 8, ntyp = 4
/
ATOMIC_SPECIES
Y 88.91 Y.upf
Au 196.97 Au.upf
P 30.97 P.upf
O 16.00 O.upf
ATOMIC_POSITIONS angstrom
Y -2.1242 0.5703 2.1560
Y -5.2706 -0.3271 6.0255
Au -4.5511 -2.1390 2.9728
Au -5.6377 1.4789 2.7850
P -3.5970 -2.6507 5.0542
P -3.8024 2.8989 3.1306
O -3.8145 -0.5414 1.5285
O -6.3639 -0.1301 4.2220
CELL_PARAMETERS angstrom
-2.7483 -0.9529 -2.4557
-2.3724 -5.2006 4.6731
-3.6629 3.9702 2.5587
! **SG**: Pmc2_1 (26)
! **Relative energy among the computed polymorphs**: 1.25 eV per formula unit
! **Size of the total moment**: 0.00 μB/atom
! **E**: -6.268 eV per atom


! PBE TaFeB4, optimized geometry; values from VASP
&SYSTEM
  ibrav = 0, nat = 6, ntyp = 3
/
ATOMIC_SPECIES
Fe 55.84 Fe.upf
B 10.81 B.upf
Ta 180.95 Ta.upf
ATOMIC_POSITIONS angstrom
Fe 0.0000 0.0000 2.9431
B 1.5470 0.8932 4.2500
B 0.0000 1.7863 1.6363
B 0.0000 1.7863 4.2500
B 1.5470 0.8932 1.6363
Ta 0.0000 0.0000 0.0000
CELL_PARAMETERS angstrom
3.0940 0.0000 0.0000
-1.5470 2.6795 0.0000
0.0000 0.0000 5.8863
! **SG**: P6/mmm (191)
! **Size of the total moment**: 0.00 μB/atom
! **E**: -8.222 eV per atom


! PBE Sr3Cu2Ge4Pd2, optimized geometry; values from VASP
&SYSTEM
  ibrav = 0, nat = 11, ntyp = 4
/
ATOMIC_SPECIES
Sr 87.62 Sr.upf
Cu 63.55 Cu.upf
Ge 72.64 Ge.upf
Pd 106.42 Pd.upf
ATOMIC_POSITIONS angstrom
Sr 3.4577 14.1509 6.5571
Sr -0.7202 -0.7519 2.0025
Sr 1.8753 7.6748 3.5563
Cu 4.8074 19.6746 9.1166
Cu 0.5256 2.1511 0.9968
Ge -1.7498 1.8399 0.0615
Ge 1.0612 4.3430 2.0124
Ge 1.6701 9.0304 6.5353
Ge 4.2719 17.4827 8.1010
Pd -0.6887 6.1824 2.0737
Pd 0.6090 4.6879 4.5231
CELL_PARAMETERS angstrom
3.9724 9.4517 7.5215
1.3607 12.3741 2.5919
-5.4128 -10.9555 -3.5166
! **SG**: Immm (71)
! **E**: -4.318 eV per atom


! PBE HfZr2NiAs4Pd3, optimized geometry; values from VASP
&SYSTEM
  ibrav = 0, nat = 11, ntyp = 5
/
ATOMIC_SPECIES
As 74.92 As.upf
Pd 106.42 Pd.upf
Zr 91.22 Zr.upf
Hf 178.49 Hf.upf
Ni 58.69 Ni.upf
ATOMIC_POSITIONS angstrom
As 1.5148 1.9468 4.7507
As 4.9915 1.9468 6.7716
As 4.9565 0.0000 2.9132
As 1.5746 0.0000 1.0245
Pd 4.2137 0.0000 0.4472
Pd 5.5608 1.9468 4.3799
Pd 2.2503 1.9468 7.1764
Zr 3.0093 1.9468 2.4420
Zr 6.3541 1.9468 1.4468
Hf 3.4009 0.0000 5.3080
Ni 0.9466 0.0000 3.4269
CELL_PARAMETERS angstrom
6.5998 0.0000 0.0000
0.0000 3.8937 0.0000
-0.1563 0.0000 7.7131
! **SG**: Pm (6)
! **Relative energy among the computed polymorphs**: 0.02 eV per formula unit
! **Size of the total moment**: 0.00 μB/atom
! **E**: -6.886 eV per atom


! PBE AlFePtW, optimized geometry; values from VASP
&SYSTEM
  ibrav = 0, nat = 4, ntyp = 4
/
ATOMIC_SPECIES
Al 26.98 Al.upf
W 183.84 W.upf
Pt 195.08 Pt.upf
Fe 55.84 Fe.upf
ATOMIC_POSITIONS angstrom
Al 0.0000 0.0000 0.0000
W 0.0376 -1.0258 2.4572
Pt 0.0751 -2.0515 4.9143
Fe 0.1126 -3.0773 7.3715
CELL_PARAMETERS angstrom
1.9098 0.1987 3.9017
-2.3401 -0.6724 3.6030
0.5805 -3.6293 2.3240
! **SG**: F-43m (216)
! **Relative energy among the computed polymorphs**: 0.69 eV per formula unit
! **Size of the total moment**: 0.31 μB/atom
! **E**: -7.739 eV per atom


! PBE CuAg4, optimized geometry; values from VASP
&SYSTEM
  ibrav = 0, nat = 10, ntyp = 2
/
ATOMIC_SPECIES
Cu 63.55 Cu.upf
Ag 107.87 Ag.upf
ATOMIC_POSITIONS angstrom
Cu 9.7607 0.0000 6.5545
Cu 0.6632 0.0000 2.8504
Ag 8.4088 0.0000 0.9978
Ag 4.6358 0.0000 1.9239
Ag 0.0000 0.0000 0.0000
Ag 9.0335 0.0000 3.7518
Ag 2.0152 0.0000 8.4071
Ag 5.7881 0.0000 7.4810
Ag 1.3904 0.0000 5.6530
Ag 5.2120 0.0000 4.7024
CELL_PARAMETERS angstrom
6.1545 -1.4555 0.0000
6.1545 1.4555 0.0000
-1.8851 0.0000 9.4049
! **SG**: C2/m (12)
! **Relative energy among the computed polymorphs**: 0.16 eV per formula unit
! **Energy relative to the elements**: 0.057 eV/atom
! **E**: -2.946 eV per atom


! PBE LiYSnPd, optimized geometry; values from VASP
&SYSTEM
  ibrav = 0, nat = 8, ntyp = 4
/
ATOMIC_SPECIES
Sn 118.71 Sn.upf
Pd 106.42 Pd.upf
Y 88.91 Y.upf
Li 6.94 Li.upf
ATOMIC_POSITIONS angstrom
Sn -3.2053 -0.4721 0.9393
Sn 0.2221 2.6414 2.0855
Pd -0.7557 2.7051 4.8382
Pd -2.0055 2.1057 0.2721
Y 0.0000 0.0000 0.0000
Y -2.9832 2.1693 3.0248
Li -0.9786 0.0541 2.7452
Li -1.7826 4.7566 2.3652
CELL_PARAMETERS angstrom
-4.2328 1.5716 -1.5398
-2.1777 -2.5159 3.4184
0.4441 5.2829 4.1711
! **SG**: P-4m2 (115)
! **Size of the total moment**: 0.00 μB/atom
! **E**: -5.202 eV per atom


! PBE KTbTh, optimized geometry; values from VASP
&SYSTEM
  ibrav = 0, nat = 3, ntyp = 3
/
ATOMIC_SPECIES
Th 232.04 Th.upf
Tb 158.93 Tb.upf
K 39.10 K.upf
ATOMIC_POSITIONS angstrom
Th 2.0239 2.0239 2.0239
Tb 0.0000 0.0000 0.0000
K 6.0716 6.0716 6.0716
CELL_PARAMETERS angstrom
0.0000 4.0478 4.0478
4.0478 0.0000 4.0478
4.0478 4.0478 0.0000
! **SG**: F-43m (216)
! **Relative energy among the computed polymorphs**: 0.00 eV per formula unit
! **Size of the total moment**: 0.01 μB/atom
! **E**: -3.012 eV per atom


! PBE CuAgMoPt, optimized geometry; values from VASP
&SYSTEM
  ibrav = 0, nat = 4, ntyp = 4
/
ATOMIC_SPECIES
Cu 63.55 Cu.upf
Pt 195.08 Pt.upf
Ag 107.87 Ag.upf
Mo 95.94 Mo.upf
ATOMIC_POSITIONS angstrom
Cu -5.6660 1.4251 5.6607
Pt -1.8887 0.4750 1.8869
Ag -3.7774 0.9501 3.7738
Mo 0.0000 0.0000 0.0000
CELL_PARAMETERS angstrom
-2.3846 -1.8076 3.2642
-1.0006 2.3858 3.5938
-4.1696 1.3219 0.6896
! **SG**: F-43m (216)
! **Relative energy among the computed polymorphs**: 0.00 eV per formula unit
! **Size of the total moment**: 0.00 μB/atom
! **Energy relative to the elements**: 0.204 eV/atom
! **E**: -5.657 eV per atom


! PBE ReBiPt, optimized geometry; values from VASP
&SYSTEM
  ibrav = 0, nat = 3, ntyp = 3
/
ATOMIC_SPECIES
Pt 195.08 Pt.upf
Bi 208.98 Bi.upf
Re 186.21 Re.upf
ATOMIC_POSITIONS angstrom
Pt 4.7733 4.7733 4.7733
Bi 1.5911 1.5911 1.5911
Re 0.0000 0.0000 0.0000
CELL_PARAMETERS angstrom
0.0000 3.1822 3.1822
3.1822 0.0000 3.1822
3.1822 3.1822 0.0000
! **SG**: F-43m (216)
! **Size of the total moment**: 0.31 μB/atom
! **E**: -6.841 eV per atom


! PBE UCoRe, optimized geometry; values from VASP
&SYSTEM
  ibrav = 0, nat = 3, ntyp = 3
/
ATOMIC_SPECIES
Co 58.93 Co.upf
Re 186.21 Re.upf
U 238.03 U.upf
ATOMIC_POSITIONS angstrom
Co 1.5182 1.5182 1.5182
Re 4.5545 4.5545 4.5545
U 0.0000 0.0000 0.0000
CELL_PARAMETERS angstrom
0.0000 3.0363 3.0363
3.0363 0.0000 3.0363
3.0363 3.0363 0.0000
! **SG**: F-43m (216)
! **Relative energy among the computed polymorphs**: 1.20 eV per formula unit
! **Size of the total moment**: 0.00 μB/atom
! **Energy relative to the elements**: 0.807 eV/atom
! **E**: -9.468 eV per atom


! PBE GaCuHgW, optimized geometry; values from VASP
&SYSTEM
  ibrav = 0, nat = 4, ntyp = 4
/
ATOMIC_SPECIES
Cu 63.55 Cu.upf
Hg 200.59 Hg.upf
W 183.84 W.upf
Ga 69.72 Ga.upf
ATOMIC_POSITIONS angstrom
Cu 4.8419 4.8419 4.8419
Hg 1.6140 1.6140 1.6140
W 3.2279 3.2279 3.2279
Ga 0.0000 0.0000 0.0000
CELL_PARAMETERS angstrom
0.0000 3.2279 3.2279
3.2279 0.0000 3.2279
3.2279 3.2279 0.0000
! **SG**: F-43m (216)
! **Relative energy among the computed polymorphs**: 0.79 eV per formula unit
! **Size of the total moment**: 0.48 μB/atom
! **E**: -4.106 eV per atom


! PBE SnIr7, optimized geometry; values from VASP
&SYSTEM
  ibrav = 0, nat = 16, ntyp = 2
/
ATOMIC_SPECIES
Ir 192.22 Ir.upf
Sn 118.71 Sn.upf
ATOMIC_POSITIONS angstrom
Ir 1.3901 0.0000 28.4964
Ir 0.0000 1.3901 26.5781
Ir 0.0000 1.3901 18.9180
Ir 0.0000 1.3901 15.0927
Ir 1.3901 0.0000 13.1741
Ir 0.0000 1.3901 22.7560
Ir 0.0000 1.3901 34.2256
Ir 1.3901 0.0000 17.0110
Ir 1.3901 0.0000 32.3143
Ir 1.3901 0.0000 20.8331
Ir 1.3901 0.0000 9.3635
Ir 0.0000 1.3901 11.2748
Ir 0.0000 1.3901 30.4150
Ir 1.3901 0.0000 24.6711
Sn 1.3901 0.0000 36.3853
Sn 0.0000 1.3901 7.2038
CELL_PARAMETERS angstrom
2.7802 0.0000 0.0000
0.0000 2.7802 0.0000
0.0000 0.0000 43.5891
! **SG**: P4/nmm (129)
! **Relative energy among the computed polymorphs**: 0.22 eV per formula unit
! **Size of the total moment**: 0.00 μB/atom
! **E**: -8.158 eV per atom


! PBE BaYTe2AuS, optimized geometry; values from VASP
&SYSTEM
  ibrav = 0, nat = 12, ntyp = 5
/
ATOMIC_SPECIES
Te 127.60 Te.upf
Au 196.97 Au.upf
Ba 137.33 Ba.upf
S 32.06 S.upf
Y 88.91 Y.upf
ATOMIC_POSITIONS angstrom
Te 2.1901 2.1437 4.8201
Te 2.1901 -2.1437 5.9812
Te 2.1901 -2.1437 10.2207
Te 2.1901 2.1437 0.5805
Au 2.1901 -0.3441 8.1009
Au 2.1901 0.3441 2.7003
Ba 2.1901 -3.4087 2.7003
Ba 2.1901 3.4087 8.1009
S 2.1901 -6.4455 8.1009
S 2.1901 6.4455 2.7003
Y 0.0000 0.0000 5.4006
Y 0.0000 0.0000 0.0000
CELL_PARAMETERS angstrom
2.1901 -7.4750 0.0000
2.1901 7.4750 0.0000
0.0000 0.0000 10.8012
! **SG**: Cmcm (63)
! **Size of the total moment**: 0.00 μB/atom
! **E**: -5.012 eV per atom


! PBE La2HfTl, optimized geometry; values from VASP
&SYSTEM
  ibrav = 0, nat = 4, ntyp = 3
/
ATOMIC_SPECIES
La 138.91 La.upf
Tl 204.38 Tl.upf
Hf 178.49 Hf.upf
ATOMIC_POSITIONS angstrom
La 0.0000 0.0000 0.0000
La 5.7212 5.7212 5.7212
Tl 3.8141 3.8141 3.8141
Hf 1.9071 1.9071 1.9071
CELL_PARAMETERS angstrom
0.0000 3.8141 3.8141
3.8141 0.0000 3.8141
3.8141 3.8141 0.0000
! **SG**: F-43m (216)
! **Size of the total moment**: 0.23 μB/atom
! **E**: -5.394 eV per atom


! PBE GdNbAu, optimized geometry; values from VASP
&SYSTEM
  ibrav = 0, nat = 3, ntyp = 3
/
ATOMIC_SPECIES
Gd 157.25 Gd.upf
Au 196.97 Au.upf
Nb 92.91 Nb.upf
ATOMIC_POSITIONS angstrom
Gd 4.9231 4.9231 4.9231
Au 1.6410 1.6410 1.6410
Nb 0.0000 0.0000 0.0000
CELL_PARAMETERS angstrom
0.0000 3.2821 3.2821
3.2821 0.0000 3.2821
3.2821 3.2821 0.0000
! **SG**: F-43m (216)
! **Size of the total moment**: 0.27 μB/atom
! **Energy relative to the elements**: 0.580 eV/atom
! **E**: -5.424 eV per atom


! PBE PrMgTlTe3, optimized geometry; values from VASP
&SYSTEM
  ibrav = 0, nat = 24, ntyp = 4
/
ATOMIC_SPECIES
Te 127.60 Te.upf
Pr 140.91 Pr.upf
Tl 204.38 Tl.upf
Mg 24.30 Mg.upf
ATOMIC_POSITIONS angstrom
Te 6.7172 3.4275 9.5201
Te 2.9486 1.1425 10.4092
Te 5.4220 1.1425 5.9555
Te 11.2486 3.4275 9.4555
Te 6.9602 1.1425 1.7177
Te 0.6476 3.4275 13.6933
Te 0.8906 1.1425 6.0201
Te 3.1210 3.4275 2.6714
Te 9.0182 1.1425 12.8043
Te 9.1907 3.4275 5.0665
Te 11.4917 1.1425 1.7823
Te 5.1790 3.4275 13.7580
Pr 6.1709 3.4275 3.8214
Pr 12.0379 1.1425 11.5592
Pr 5.9683 1.1425 11.6543
Pr 0.1013 3.4275 3.9165
Tl 3.2093 3.4275 7.5914
Tl 9.2789 3.4275 0.1464
Tl 2.8604 1.1425 15.3292
Tl 8.9300 1.1425 7.8842
Mg 9.0106 3.4275 11.1026
Mg 3.1286 1.1425 4.3730
Mg 9.1982 1.1425 3.3648
Mg 2.9410 3.4275 12.1108
CELL_PARAMETERS angstrom
12.1392 0.0000 0.0000
0.0000 4.5700 0.0000
0.0000 0.0000 15.4756
! **SG**: Pnma (62)
! **Size of the total moment**: 0.00 μB/atom
! **E**: -3.987 eV per atom


! PBE SmAuNO, optimized geometry; values from VASP
&SYSTEM
  ibrav = 0, nat = 16, ntyp = 4
/
ATOMIC_SPECIES
Sm 150.36 Sm.upf
Au 196.97 Au.upf
O 16.00 O.upf
N 14.01 N.upf
ATOMIC_POSITIONS angstrom
Sm 2.6883 2.8421 4.9318
Sm 3.1245 5.0027 2.1055
Sm 5.5946 5.0027 4.9318
Sm 0.2181 2.8421 2.1055
Au 2.4985 0.2251 2.9567
Au 3.3142 7.6197 0.1304
Au 5.4049 7.6197 2.9567
Au 0.4079 0.2251 0.1304
O 4.3749 3.6687 0.6593
O 1.4685 4.1761 0.6593
O 4.3443 3.6687 3.4856
O 1.4379 4.1761 3.4856
N 3.7354 6.5910 3.9014
N 2.0774 1.2538 1.0751
N 0.8290 1.2538 3.9014
N 4.9838 6.5910 1.0751
CELL_PARAMETERS angstrom
5.8127 0.0000 0.0000
0.0000 7.8448 0.0000
0.0000 0.0000 5.6526
! **SG**: Pca2_1 (29)
! **Relative energy among the computed polymorphs**: 0.00 eV per formula unit
! **Size of the total moment**: 0.00 μB/atom
! **E**: -6.463 eV per atom